Record 1
A plane-wave DFT calculation with PBE-GGA was carried out for a relaxed structure of KSnTe2I.

Cell: 5.766 5.766 6.352 Å, 90.00 90.00 90.00°
Fractional coordinates of all 5 atoms:
I (0.000, 0.000, 0.500)
K (0.500, 0.500, 0.500)
Te (0.000, 0.500, 0.000)
Te (0.500, 0.000, 0.000)
Sn (0.000, 0.000, 0.000)

Computed properties:
Symmetry: P4/mmm, No. 123
Magnetic moment (μB/atom): 0.000
Excess energy over the best structure of this formula in the dataset (eV per atom): 0.000

Record 2
A plane-wave DFT calculation with PBE-GGA was carried out for a relaxed structure of K3Tl3SnI8.

Cell: 10.081 10.081 10.007 Å, 120.25 90.00 120.00°
Fractional coordinates of all 15 atoms:
K (0.500, 0.000, 0.500)
K (0.500, 0.500, 0.500)
K (0.000, 0.500, 0.500)
Tl (0.000, 0.000, 0.000)
Tl (0.000, 0.500, 0.000)
Tl (0.500, 0.500, 0.000)
Sn (0.000, 0.000, 0.500)
I (0.250, 0.500, 0.251)
I (0.750, 0.500, 0.749)
I (0.772, 0.544, 0.272)
I (0.228, 0.456, 0.728)
I (0.772, 0.000, 0.272)
I (0.228, 0.000, 0.728)
I (0.228, 0.000, 0.272)
I (0.772, 0.000, 0.728)

Computed properties:
Symmetry: R-3m, No. 166
Magnetic moment (μB/atom): 0.000

| no. | volume (Å³ per cell) | energy (eV per atom) |
| --- | --- | --- |
| 1 | 211.15 | -2.955 |
| 2 | 716.39 | -2.748 |